# 1
Compound: DyMgGa2Pt2
Source: Alexandria
Functional: PBE
Structure: optimized geometry

Electronic total energy in eV per atom: -4.97
ρ in Mg/m³: 10.770
Fermi-level density of states in states/eV/atom: 0.553
E_form in kJ per mole of atoms: -88.10

a b c (Å): 4.4109 4.4109 6.5554
angles (deg): 90.00 90.00 120.00
Space group P-3m1 (No. 164)
Asymmetric unit:
Dy1 0.0000 0.0000 0.0000 [1 per cell]
Mg1 0.0000 0.0000 0.5000 [1 per cell]
Ga1 0.3333 0.6667 0.2898 [2 per cell]
Pt1 0.3333 0.6667 0.7243 [2 per cell]

=====

# 2
Compound: LaCuNi2
Source: Alexandria
Functional: PBE
Structure: optimized geometry

Electronic total energy in eV per atom: -5.19
ρ in Mg/m³: 6.757
Fermi-level density of states in states/eV/atom: 0.400
E_form in kJ per mole of atoms: -3.89

a b c (Å): 4.390 4.390 16.316
angles (deg): 90.00 90.00 90.00
Space group I-42d (No. 122)
Asymmetric unit:
La1 0.000 0.000 0.000 [4 per cell]
Cu1 0.000 0.000 0.500 [4 per cell]
Ni1 0.066 0.250 0.625 [8 per cell]

=====

# 3
Compound: KSrZnNi2
Source: Alexandria
Functional: PBE
Structure: optimized geometry

Electronic total energy in eV per atom: -1.67
ρ in Mg/m³: 3.735
Fermi-level density of states in states/eV/atom: 0.804
E_form in kJ per mole of atoms: 140.44

a b c (Å): 4.877 4.877 5.785
angles (deg): 90.00 90.00 90.00
Space group P4/mmm (No. 123)
Asymmetric unit:
K1 0.000 0.000 0.000 [1 per cell]
Sr1 0.000 0.000 0.500 [1 per cell]
Zn1 0.500 0.500 0.500 [1 per cell]
Ni1 0.000 0.500 0.000 [2 per cell]

=====

# 4
Compound: Tb2HoEr3Bi6
Source: Alexandria
Functional: PBE
Structure: optimized geometry

Electronic total energy in eV per atom: -5.07
ρ in Mg/m³: 9.870
Fermi-level density of states in states/eV/atom: 0.166
E_form in kJ per mole of atoms: -80.94

a b c (Å): 19.439 4.460 8.923
angles (deg): 90.00 103.19 90.00
Space group C2/m (No. 12)
Asymmetric unit:
Tb1 0.166 0.000 0.333 [4 per cell]
Ho1 0.000 0.500 0.000 [2 per cell]
Er1 0.000 0.500 0.500 [2 per cell]
Er2 0.167 0.000 0.833 [4 per cell]
Bi1 0.001 0.000 0.750 [4 per cell]
Bi2 0.166 0.500 0.585 [4 per cell]
Bi3 0.167 0.500 0.081 [4 per cell]

=====

Number 1: calculated volume 110.5 Å³/cell. Number 2: calculated volume 314.4 Å³/cell. Number 3: calculated volume 137.6 Å³/cell. Number 4: calculated volume 753.2 Å³/cell.